Entry from the Alexandria database: Pm2CuS after structural relaxation (PBE).

- calculated total energy (eV for the cell shown) = -21.57
- formation energy (no corrections) (eV/atom) = -0.961

Cell lengths 3.947, 3.947, 7.611 Å; angles 74.97, 74.97, 60.00 degrees
Fractional positions:
S 0.668 0.668 0.997
Cu 0.499 0.499 0.503
Pm 0.078 0.078 0.767
Pm 0.255 0.255 0.234


Entry from the Alexandria database: PmCuS2 after structural relaxation (PBE).

- calculated total energy (eV for the cell shown) = -90.61
- formation energy (no corrections) (eV/atom) = -1.387

Cell lengths 6.476, 6.867, 7.165 Å; angles 90.00, 90.00, 97.44 degrees
Fractional positions:
S 0.410 0.222 0.114
S 0.918 0.002 0.274
Pm 0.809 0.200 0.951
Pm 0.191 0.800 0.049
S 0.918 0.502 0.226
Cu 0.425 0.952 0.664
S 0.082 0.498 0.774
Pm 0.191 0.300 0.451
Cu 0.575 0.548 0.164
S 0.082 0.998 0.726
Cu 0.425 0.452 0.836
Cu 0.575 0.048 0.336
S 0.410 0.722 0.386
S 0.590 0.278 0.614
S 0.590 0.778 0.886
Pm 0.809 0.700 0.549


Entry from the Alexandria database: Pm5CuS8 after structural relaxation (PBE).

- calculated total energy (eV for the cell shown) = -86.01
- formation energy (no corrections) (eV/atom) = -1.795

Cell lengths 7.342, 7.342, 7.342 Å; angles 110.22, 107.99, 110.22 degrees
Fractional positions:
Pm 0.366 0.118 0.986
S 0.748 0.238 0.353
Pm 0.014 0.381 0.132
Pm 0.868 0.882 0.248
Pm 0.500 0.000 0.500
S 0.647 0.395 0.885
S 0.601 0.870 0.858
S 0.491 0.605 0.252
S 0.115 0.762 0.509
S 0.142 0.743 0.012
Cu 0.250 0.500 0.750
S 0.269 0.257 0.399
Pm 0.752 0.619 0.634
S 0.988 0.130 0.731


Entry from the Alexandria database: PmCu3S3 after structural relaxation (PBE).

- calculated total energy (eV for the cell shown) = -70.74
- formation energy (no corrections) (eV/atom) = -0.850

Cell lengths 6.752, 6.752, 7.582 Å; angles 63.56, 63.56, 60.00 degrees
Fractional positions:
Cu 0.220 0.878 0.368
S 0.584 0.914 0.259
Cu 0.466 0.780 0.632
Pm 0.334 0.334 0.999
Pm 0.666 0.666 0.001
Cu 0.878 0.534 0.368
Cu 0.122 0.466 0.632
S 0.086 0.757 0.741
S 0.243 0.584 0.259
Cu 0.780 0.122 0.632
S 0.914 0.243 0.259
S 0.416 0.086 0.741
Cu 0.534 0.220 0.368
S 0.757 0.416 0.741


Entry from the Alexandria database: Pm5CuS4 after structural relaxation (PBE).

- calculated total energy (eV for the cell shown) = -60.85
- formation energy (no corrections) (eV/atom) = -1.649

Cell lengths 4.022, 7.080, 9.061 Å; angles 75.28, 77.18, 73.50 degrees
Fractional positions:
Pm 0.397 0.308 0.897
S 0.400 0.798 0.403
Pm 0.800 0.099 0.302
S 0.201 0.396 0.202
S 0.600 0.202 0.597
Pm 0.603 0.692 0.103
Cu 0.000 0.000 0.000
S 0.799 0.604 0.798
Pm 0.200 0.901 0.698
Pm 0.000 0.500 0.500


Entry from the Alexandria database: PmCuS after structural relaxation (PBE).

- calculated total energy (eV for the cell shown) = -65.96
- formation energy (no corrections) (eV/atom) = -1.172

Cell lengths 4.171, 7.542, 9.692 Å; angles 125.72, 90.00, 90.00 degrees
Fractional positions:
S 0.250 0.231 0.641
Pm 0.250 0.950 0.267
S 0.750 0.269 0.359
Cu 0.750 0.551 0.067
Pm 0.750 0.550 0.733
Pm 0.250 0.450 0.267
S 0.250 0.731 0.641
Cu 0.250 0.949 0.933
Cu 0.750 0.051 0.067
Pm 0.750 0.050 0.733
Cu 0.250 0.449 0.933
S 0.750 0.769 0.359


Entry from the Alexandria database: Pm4Cu2S after structural relaxation (PBE).

- calculated total energy (eV for the cell shown) = -35.82
- formation energy (no corrections) (eV/atom) = -0.642

Cell lengths 3.976, 6.839, 7.397 Å; angles 72.97, 74.41, 73.10 degrees
Fractional positions:
S 0.000 0.000 0.000
Cu 0.612 0.448 0.328
Pm 0.671 0.739 0.919
Pm 0.909 0.789 0.394
Cu 0.388 0.552 0.672
Pm 0.091 0.211 0.606
Pm 0.329 0.261 0.081


Entry from the Alexandria database: Pm2CuS after structural relaxation (PBE).

- calculated total energy (eV for the cell shown) = -44.33
- formation energy (no corrections) (eV/atom) = -1.110

Cell lengths 4.038, 4.010, 11.888 Å; angles 99.71, 90.00, 90.00 degrees
Fractional positions:
S 0.750 0.809 0.617
Cu 0.750 0.535 0.070
Pm 0.750 0.689 0.377
Cu 0.250 0.465 0.930
S 0.250 0.191 0.383
Pm 0.750 0.929 0.859
Pm 0.250 0.311 0.623
Pm 0.250 0.071 0.141


Entry from the Alexandria database: Pm2CuS4 after structural relaxation (PBE).

- calculated total energy (eV for the cell shown) = -81.25
- formation energy (no corrections) (eV/atom) = -1.503

Cell lengths 6.771, 5.649, 7.978 Å; angles 90.00, 107.12, 90.00 degrees
Fractional positions:
Cu 0.752 0.250 0.813
Pm 0.239 0.250 0.934
Pm 0.761 0.750 0.066
S 0.487 0.512 0.743
S 0.926 0.250 0.104
Pm 0.231 0.250 0.433
S 0.513 0.488 0.257
S 0.487 0.988 0.743
S 0.930 0.250 0.610
Pm 0.769 0.750 0.567
S 0.513 0.012 0.257
Cu 0.248 0.750 0.187
S 0.074 0.750 0.896
S 0.070 0.750 0.390


Entry from the Alexandria database: PmCuS2 after structural relaxation (PBE).

- calculated total energy (eV for the cell shown) = -22.25
- formation energy (no corrections) (eV/atom) = -1.286

Cell lengths 4.260, 4.260, 7.488 Å; angles 73.47, 73.47, 60.00 degrees
Fractional positions:
S 0.100 0.100 0.699
Cu 0.000 0.000 0.000
Pm 0.500 0.500 0.500
S 0.900 0.900 0.301


Entry from the Alexandria database: Pm4Cu2S after structural relaxation (PBE).

- calculated total energy (eV for the cell shown) = -34.59
- formation energy (no corrections) (eV/atom) = -0.467

Cell lengths 5.389, 5.389, 7.815 Å; angles 110.17, 110.17, 90.00 degrees
Fractional positions:
Pm 0.000 0.500 0.000
Pm 0.797 0.797 0.593
Cu 0.405 0.405 0.811
S 0.000 0.000 0.000
Cu 0.595 0.595 0.189
Pm 0.203 0.203 0.407
Pm 0.500 0.000 0.000


Entry from the Alexandria database: Pm6CuS5 after structural relaxation (PBE).

- calculated total energy (eV for the cell shown) = -74.00
- formation energy (no corrections) (eV/atom) = -1.730

Cell lengths 7.020, 7.020, 7.012 Å; angles 99.62, 99.62, 120.00 degrees
Fractional positions:
S 0.334 0.666 0.000
Pm 0.580 0.917 0.749
Pm 0.420 0.083 0.251
Cu 0.000 0.000 0.000
Pm 0.748 0.748 0.252
S 0.500 0.500 0.500
Pm 0.083 0.420 0.251
S 0.167 0.833 0.500
Pm 0.252 0.252 0.748
S 0.666 0.334 0.000
Pm 0.917 0.580 0.749
S 0.833 0.167 0.500


Entry from the Alexandria database: Pm2Cu4S5 after structural relaxation (PBE).

- calculated total energy (eV for the cell shown) = -56.47
- formation energy (no corrections) (eV/atom) = -0.904

Cell lengths 3.872, 3.872, 16.303 Å; angles 83.18, 83.18, 60.00 degrees
Fractional positions:
Pm 0.869 0.869 0.393
Cu 0.312 0.312 0.064
S 0.365 0.365 0.904
Cu 0.412 0.412 0.762
Pm 0.131 0.131 0.607
S 0.500 0.500 0.500
S 0.762 0.762 0.715
Cu 0.588 0.588 0.238
Cu 0.688 0.688 0.936
S 0.635 0.635 0.096
S 0.238 0.238 0.285


Entry from the Alexandria database: Pm3CuS6 after structural relaxation (PBE).

- calculated total energy (eV for the cell shown) = -115.59
- formation energy (no corrections) (eV/atom) = -1.468

Cell lengths 6.749, 8.488, 8.488 Å; angles 99.33, 90.00, 90.00 degrees
Fractional positions:
S 0.688 0.312 0.370
Pm 0.392 0.395 0.605
S 0.687 0.576 0.093
S 0.687 0.907 0.424
S 0.176 0.039 0.961
S 0.188 0.370 0.312
S 0.676 0.961 0.039
Pm 0.481 0.283 0.084
Pm 0.892 0.605 0.395
S 0.684 0.212 0.788
S 0.187 0.424 0.907
S 0.184 0.788 0.212
S 0.688 0.630 0.688
Pm 0.981 0.717 0.916
Cu 0.522 0.801 0.199
Pm 0.981 0.084 0.283
Pm 0.481 0.916 0.717
S 0.188 0.688 0.630
S 0.187 0.093 0.576
Cu 0.022 0.199 0.801


Entry from the Alexandria database: Pm2ScCu2S6 after structural relaxation (PBE).

- calculated total energy (eV for the cell shown) = -60.59
- formation energy (no corrections) (eV/atom) = -1.073

Cell lengths 6.969, 6.969, 7.539 Å; angles 62.47, 62.47, 60.00 degrees
Fractional positions:
S 0.217 0.755 0.273
Pm 0.196 0.196 0.412
S 0.783 0.245 0.727
Cu 0.426 0.426 0.722
Pm 0.804 0.804 0.588
S 0.245 0.783 0.727
Cu 0.574 0.574 0.278
S 0.755 0.755 0.273
Sc 0.000 0.000 0.000
S 0.755 0.217 0.273
S 0.245 0.245 0.727


Entry from the Alexandria database: Pm4CuSe2S after structural relaxation (PBE).

- calculated total energy (eV for the cell shown) = -45.80
- formation energy (no corrections) (eV/atom) = -1.451

Cell lengths 5.885, 5.885, 7.167 Å; angles 114.24, 114.24, 90.00 degrees
Fractional positions:
Cu 0.750 0.250 0.500
Se 0.250 0.750 0.500
Pm 0.745 0.745 0.490
Pm 0.501 0.001 0.002
Se 0.000 0.000 0.000
Pm 0.999 0.499 0.998
Pm 0.255 0.255 0.510
S 0.500 0.500 0.000


Entry from the Alexandria database: Pm4CuSeS2 after structural relaxation (PBE).

- calculated total energy (eV for the cell shown) = -46.83
- formation energy (no corrections) (eV/atom) = -1.499

Cell lengths 5.817, 5.817, 7.103 Å; angles 114.17, 114.17, 90.00 degrees
Fractional positions:
S 0.000 0.000 0.000
Pm 0.006 0.506 0.013
Pm 0.755 0.755 0.510
Se 0.500 0.500 0.000
S 0.250 0.750 0.500
Pm 0.245 0.245 0.490
Pm 0.494 0.994 0.987
Cu 0.750 0.250 0.500


Entry from the Alexandria database: Pm8CuSe4S3 after structural relaxation (PBE).

- calculated total energy (eV for the cell shown) = -95.83
- formation energy (no corrections) (eV/atom) = -1.713

Cell lengths 8.215, 8.314, 8.215 Å; angles 119.61, 120.00, 90.00 degrees
Fractional positions:
Cu 0.000 0.500 0.000
Pm 0.257 0.271 0.514
Pm 0.256 0.264 0.010
Pm 0.754 0.264 0.508
Pm 0.754 0.264 0.010
Pm 0.246 0.736 0.492
S 0.000 0.500 0.500
Se 0.500 0.000 0.000
Pm 0.246 0.736 0.990
Se 0.000 0.000 0.000
Se 0.000 0.000 0.500
S 0.500 0.500 0.500
Pm 0.743 0.729 0.486
Se 0.500 0.000 0.500
Pm 0.744 0.736 0.990
S 0.500 0.500 0.000


Entry from the Alexandria database: Pm2SmCuS5 after structural relaxation (PBE).

- calculated total energy (eV for the cell shown) = -108.96
- formation energy (no corrections) (eV/atom) = -1.725

Cell lengths 3.918, 8.798, 11.596 Å; angles 90.00, 90.00, 102.87 degrees
Fractional positions:
Pm 0.894 0.788 0.185
Pm 0.106 0.212 0.685
Cu 0.558 0.115 0.954
S 0.709 0.418 0.181
S 0.291 0.582 0.681
S 0.498 0.996 0.778
S 0.680 0.360 0.844
S 0.959 0.917 0.559
S 0.320 0.640 0.344
S 0.641 0.282 0.502
Sm 0.805 0.610 0.510
Cu 0.442 0.885 0.454
Pm 0.118 0.236 0.311
Pm 0.882 0.764 0.811
S 0.359 0.718 0.002
S 0.502 0.004 0.278
Sm 0.195 0.390 0.010
S 0.041 0.083 0.059


Entry from the Alexandria database: SrPmCu2S4 after structural relaxation (PBE).

- calculated total energy (eV for the cell shown) = -40.39
- formation energy (no corrections) (eV/atom) = -1.157

Cell lengths 6.649, 6.089, 6.089 Å; angles 66.19, 56.90, 56.90 degrees
Fractional positions:
Pm 0.000 0.000 0.000
S 0.002 0.998 0.460
S 0.540 0.460 0.998
S 0.460 0.002 0.540
Cu 0.750 0.750 0.750
Sr 0.500 0.500 0.500
Cu 0.250 0.250 0.250
S 0.998 0.540 0.002


Entry from the Alexandria database: Sr2PmCu2S4 after structural relaxation (PBE).

- calculated total energy (eV for the cell shown) = -44.99
- formation energy (no corrections) (eV/atom) = -1.352

Cell lengths 3.901, 7.229, 7.577 Å; angles 109.73, 104.92, 90.00 degrees
Fractional positions:
Cu 0.316 0.999 0.631
Pm 0.000 0.000 0.000
S 0.531 0.744 0.062
Sr 0.133 0.572 0.267
Cu 0.684 0.001 0.369
S 0.793 0.791 0.586
Sr 0.867 0.428 0.733
S 0.207 0.209 0.414
S 0.469 0.256 0.938